A relaxed UAlNi crystal. Source: the Open Quantum Materials Database, functional PBE.

Computed properties:
Total magnetization ... 1.4 μB/f.u.
VASP energy ... -0.2525 Ha/atom

Geometry as POSCAR:
```
UAlNi
1.0
0.000 3.042 3.042
3.042 0.000 3.042
3.042 3.042 0.000
Al Ni U
1 1 1
Direct
0.750 0.750 0.750
0.000 0.000 0.000
0.250 0.250 0.250
```